## FeCuHg2O (PBE+U)

Data for a relaxed structure of FeCuHg2O.

Cell and atoms, written as POSCAR:
```
FeCuHg2O
1.0
-1.548 1.087 4.925
-3.450 -0.712 -0.927
0.686 -5.058 1.332
Fe Cu O Hg
1 1 1 2
Direct
0.000 0.500 0.000 Fe
0.500 0.500 0.500 Cu
0.000 0.000 0.000 O
0.500 0.000 0.000 Hg
0.000 0.000 0.500 Hg
```

Summary:
Crystal system: tetragonal
Space group: P4/mmm (123)
M_tot (μB/atom): 0.75
Electronic total energy (eV per cell): -14.8